Record 1
The following is a DFT calculation (PBE-GGA) of an optimized crystal structure of NdScAu.

ΔH_f (0 K) in kJ per mole of atoms: -58.7
Spin magnetization in μB per atom: 0.002

a b c (Å): 4.648 4.648 7.115
angles (deg): 90.00 90.00 90.00
Element x y z (fractional)
1 Nd 0.000 0.500 0.873
2 Nd 0.500 0.000 0.127
3 Au 0.500 0.000 0.718
4 Sc 0.000 0.000 0.500
5 Sc 0.500 0.500 0.500
6 Au 0.000 0.500 0.282



Record 2
The following is a DFT calculation (PBE-GGA) of an optimized crystal structure of LiPmMgCd.

DFT total energy in eV per atom: -2.51
Spin magnetization in μB per atom: 0.001

a b c (Å): 5.075 5.075 5.075
angles (deg): 60.00 60.00 60.00
Element x y z (fractional)
1 Mg 0.500 0.500 0.500
2 Pm 0.000 0.000 0.000
3 Cd 0.250 0.250 0.250
4 Li 0.750 0.750 0.750



Record 3
The following is a DFT calculation (PBE-GGA) of an optimized crystal structure of Pu2BeSi3.

DFT total energy in eV per atom: -8.54
Spin magnetization in μB per atom: 1.817

a b c (Å): 3.936 4.028 6.780
angles (deg): 90.00 90.00 90.00
Each line ends with the local moment (μB).
Element x y z (fractional)
1 Si 0.500 0.000 0.351  -0.03
2 Pu 0.000 0.500 0.497  5.10
3 Be 0.500 0.000 0.672  0.02
4 Si 0.000 0.000 0.817  -0.04
5 Pu 0.500 0.500 0.002  5.12
6 Si 0.000 0.000 0.161  -0.02



Record 4
The following is a DFT calculation (PBE-GGA) of an optimized crystal structure of Na2CuIrCl6.

DFT total energy in eV per atom: -3.48
Spin magnetization in μB per atom: 0.000

a b c (Å): 6.786 6.786 6.786
angles (deg): 60.00 60.00 60.00
Element x y z (fractional)
1 Na 0.250 0.250 0.250
2 Cl 0.254 0.254 0.746
3 Ir 0.500 0.500 0.500
4 Cl 0.746 0.254 0.746
5 Cu 0.000 0.000 0.000
6 Cl 0.746 0.746 0.254
7 Cl 0.746 0.254 0.254
8 Na 0.750 0.750 0.750
9 Cl 0.254 0.746 0.746
10 Cl 0.254 0.746 0.254



Record 5
The following is a DFT calculation (PBE-GGA) of an optimized crystal structure of CdNi124.

ΔH_f (0 K) in kJ per mole of atoms: 0.6
Spin magnetization in μB per atom: 0.606

a b c (Å): 12.417 12.417 12.417
angles (deg): 60.00 60.00 60.00
Each line ends with the local moment (μB).
Element x y z (fractional)
1 Ni 0.600 0.800 0.000  0.64
2 Ni 0.400 0.600 0.400  0.64
3 Ni 0.599 0.000 0.201  0.63
4 Ni 0.400 0.200 0.800  0.63
5 Ni 0.200 0.800 0.400  0.63
6 Ni 0.800 0.200 0.400  0.63
7 Ni 0.793 0.000 0.000  0.58
8 Ni 0.800 0.200 0.800  0.62
9 Ni 0.201 0.599 0.000  0.62
10 Ni 0.000 0.207 0.793  0.56
11 Ni 0.200 0.800 0.200  0.62
12 Ni 0.000 0.402 0.598  0.63
13 Ni 0.800 0.600 0.800  0.62
14 Ni 0.599 0.201 0.201  0.63
15 Ni 0.600 0.400 0.800  0.63
16 Ni 0.600 0.000 0.600  0.63
17 Ni 0.799 0.000 0.799  0.62
18 Cd 0.000 0.000 0.000  -0.03
19 Ni 0.600 0.800 0.200  0.63
20 Ni 0.800 0.000 0.600  0.63
21 Ni 0.200 0.200 0.200  0.62
22 Ni 0.800 0.200 0.200  0.61
23 Ni 0.000 0.400 0.200  0.62
24 Ni 0.800 0.400 0.400  0.63
25 Ni 0.200 0.800 0.800  0.61
26 Ni 0.600 0.400 0.600  0.64
27 Ni 0.200 0.400 0.200  0.62
28 Ni 0.400 0.200 0.600  0.63
29 Ni 0.200 0.600 0.800  0.63
30 Ni 0.600 0.600 0.600  0.63
31 Ni 0.402 0.000 0.000  0.65
32 Ni 0.800 0.600 0.000  0.63
33 Ni 0.400 0.800 0.600  0.63
34 Ni 0.400 0.400 0.800  0.63
35 Ni 0.599 0.201 0.000  0.63
36 Ni 0.400 0.800 0.200  0.63
37 Ni 0.598 0.000 0.000  0.65
38 Ni 0.600 0.000 0.800  0.63
39 Ni 0.401 0.799 0.799  0.63
40 Ni 0.201 0.599 0.201  0.63
41 Ni 0.000 0.000 0.598  0.62
42 Ni 0.207 0.793 0.000  0.56
43 Ni 0.200 0.200 0.800  0.63
44 Ni 0.799 0.799 0.401  0.64
45 Ni 0.000 0.201 0.201  0.62
46 Ni 0.201 0.201 0.000  0.64
47 Ni 0.000 0.800 0.600  0.62
48 Ni 0.207 0.000 0.000  0.58
49 Ni 0.793 0.000 0.207  0.58
50 Ni 0.800 0.800 0.200  0.63
51 Ni 0.799 0.401 0.000  0.62
52 Ni 0.400 0.800 0.400  0.64
53 Ni 0.400 0.600 0.800  0.63
54 Ni 0.400 0.400 0.000  0.63
55 Ni 0.200 0.400 0.800  0.63
56 Ni 0.200 0.000 0.400  0.63
57 Ni 0.400 0.000 0.400  0.63
58 Ni 0.000 0.000 0.207  0.54
59 Ni 0.000 0.799 0.799  0.62
60 Ni 0.600 0.200 0.600  0.64
61 Ni 0.200 0.400 0.600  0.63
62 Ni 0.600 0.600 0.400  0.63
63 Ni 0.402 0.000 0.598  0.65
64 Ni 0.799 0.000 0.401  0.62
65 Ni 0.600 0.200 0.800  0.63
66 Ni 0.000 0.200 0.400  0.62
67 Ni 0.400 0.400 0.200  0.63
68 Ni 0.400 0.400 0.400  0.63
69 Ni 0.401 0.799 0.000  0.63
70 Ni 0.000 0.401 0.799  0.62
71 Ni 0.600 0.400 0.200  0.63
72 Ni 0.000 0.599 0.201  0.62
73 Ni 0.800 0.600 0.400  0.63
74 Ni 0.600 0.800 0.600  0.64
75 Ni 0.800 0.800 0.800  0.62
76 Ni 0.000 0.400 0.400  0.62
77 Ni 0.800 0.400 0.600  0.63
78 Ni 0.800 0.800 0.600  0.62
79 Ni 0.000 0.201 0.599  0.62
80 Ni 0.201 0.000 0.201  0.62
81 Ni 0.600 0.600 0.200  0.63
82 Ni 0.793 0.207 0.000  0.56
83 Ni 0.201 0.000 0.599  0.62
84 Ni 0.200 0.200 0.400  0.62
85 Ni 0.799 0.799 0.000  0.64
86 Ni 0.400 0.000 0.200  0.63
87 Ni 0.207 0.000 0.793  0.58
88 Ni 0.000 0.600 0.800  0.62
89 Ni 0.598 0.000 0.402  0.65
90 Ni 0.400 0.200 0.000  0.64
91 Ni 0.600 0.800 0.800  0.64
92 Ni 0.200 0.400 0.000  0.63
93 Ni 0.598 0.402 0.000  0.64
94 Ni 0.000 0.000 0.402  0.62
95 Ni 0.000 0.799 0.401  0.62
96 Ni 0.201 0.201 0.599  0.64
97 Ni 0.200 0.600 0.600  0.63
98 Ni 0.401 0.000 0.799  0.63
99 Ni 0.000 0.598 0.000  0.63
100 Ni 0.000 0.793 0.207  0.56
101 Ni 0.600 0.600 0.000  0.63
102 Ni 0.200 0.800 0.600  0.63
103 Ni 0.000 0.207 0.000  0.56
104 Ni 0.200 0.400 0.400  0.63
105 Ni 0.600 0.400 0.400  0.64
106 Ni 0.400 0.200 0.400  0.64
107 Ni 0.000 0.793 0.000  0.56
108 Ni 0.400 0.400 0.600  0.63
109 Ni 0.400 0.600 0.200  0.63
110 Ni 0.800 0.200 0.600  0.63
111 Ni 0.000 0.600 0.600  0.62
112 Ni 0.402 0.598 0.000  0.64
113 Ni 0.600 0.800 0.400  0.63
114 Ni 0.000 0.000 0.793  0.54
115 Ni 0.000 0.402 0.000  0.63
116 Ni 0.799 0.401 0.799  0.63
117 Ni 0.800 0.600 0.200  0.63
118 Ni 0.400 0.600 0.600  0.64
119 Ni 0.800 0.400 0.200  0.63
120 Ni 0.400 0.200 0.200  0.64
121 Ni 0.000 0.598 0.402  0.63
122 Ni 0.800 0.600 0.600  0.63
123 Ni 0.600 0.600 0.800  0.63
124 Ni 0.600 0.200 0.400  0.63
125 Ni 0.200 0.600 0.400  0.63



Record 6
The following is a DFT calculation (PBE-GGA) of an optimized crystal structure of AcHf.

ΔH_f (0 K) in kJ per mole of atoms: 50.9
Spin magnetization in μB per atom: 0.007

a b c (Å): 3.522 3.521 5.731
angles (deg): 90.00 90.00 120.00
Element x y z (fractional)
1 Hf 0.333 0.667 0.250
2 Ac 0.667 0.333 0.750



Record 7
The following is a DFT calculation (PBE-GGA) of an optimized crystal structure of LaNpPt.

ΔH_f (0 K) in kJ per mole of atoms: -27.3
Spin magnetization in μB per atom: 1.785

a b c (Å): 4.977 4.977 4.977
angles (deg): 60.00 60.00 60.00
Element x y z (fractional)
1 Pt 0.000 0.000 0.000
2 La 0.250 0.250 0.250
3 Np 0.750 0.750 0.750



Record 8
The following is a DFT calculation (PBE-GGA) of an optimized crystal structure of LiNpAgTe3.

DFT total energy in eV per atom: -5.07
Spin magnetization in μB per atom: 0.500

a b c (Å): 7.658 7.658 11.200
angles (deg): 90.00 90.00 147.49
Each line ends with the local moment (μB).
Element x y z (fractional)
1 Te 0.857 0.143 0.057  -0.12
2 Te 0.143 0.857 0.557  -0.13
3 Li 0.332 0.668 0.250  0.00
4 Te 0.857 0.143 0.443  -0.13
5 Te 0.143 0.857 0.943  -0.12
6 Te 0.406 0.594 0.750  -0.14
7 Ag 0.026 0.974 0.750  -0.05
8 Np 0.500 0.500 0.000  3.55
9 Np 0.500 0.500 0.500  3.54
10 Ag 0.974 0.026 0.250  -0.05
11 Te 0.594 0.406 0.250  -0.14
12 Li 0.668 0.332 0.750  0.00